SmTm4In2 | PBE-GGA | relaxed

DFT formation energy	0.215	eV/atom
magnetic moment	0.000	μB/f.u.
symmetry	I4/mmm, No. 139
relative energy among the computed polymorphs	324	meV per atom
crystal system	tetragonal

Cell lengths 5.709, 5.709, 7.632 Å; angles 111.96, 111.96, 90.00 degrees
Positions (direct):
In 0.375 0.375 0.749
Tm 0.500 0.000 0.000
Sm 0.000 0.000 0.000
In 0.625 0.625 0.251
Tm 0.250 0.750 0.500
Tm 0.750 0.250 0.500
Tm 0.000 0.500 0.000